## Zn3MoO (GGA+U)

Data for an optimized crystal structure of Zn3MoO.

DOS at the Fermi energy   1.3865 states/eV per atom
Crystal system   cubic
Total moment   3.683 μB per cell
Energy   -1.909 eV/atom

Lattice parameters (Å, degrees): 5.330 5.330 5.330 90.00 90.00 90.00
Space group Pm-3m (No. 221)
One atom of each set of equivalent atoms:
Zn 0.000 0.000 0.500
Mo 0.000 0.000 0.000
O 0.500 0.500 0.500